The following is a DFT calculation (PBE) of SrTaPt after structural relaxation.

The size of the total moment is 0.00 μB per atom. The formation energy comes out at -0.09 eV/atom. The density of states at the Fermi level comes out at 0.6185 states/eV per atom. For the density, the calculation gives 9.4 Mg/m³. As for the calculated volume: 27.38 Å³ per atom. The excess energy over the best structure of this formula in the dataset comes out at 21.7 kJ/mol of atoms.

```
SrTaPt
1.0
-2.452 -0.459 3.579
-1.409 -1.558 -3.824
2.215 -4.358 0.959
Pt Sr Ta
1 1 1
Cartesian
1.844 -3.628 0.798
-1.018 -2.645 -1.036
-0.257 -4.459 1.911
```